1.
Density functional theory data (PBE) for an optimized crystal structure of Tm3ScPb2N.

a b c (Å): 4.502 4.662 15.799
angles (deg): 90.00 90.00 90.00
Space group Immm (No. 71)
Inequivalent atoms, fractional coordinates:
Tm 0.000 0.000 0.000 [2 per cell]
Tm 0.000 0.500 0.154 [4 per cell]
Sc 0.000 0.000 0.500 [2 per cell]
Pb 0.000 0.500 0.356 [4 per cell]
N 0.000 0.500 0.000 [2 per cell]

ΔE_f (raw) = -0.8824 eV per atom
Total DFT energy (no corrections) = -5.952 eV per atom

2.
Density functional theory data (PBE) for an optimized crystal structure of Y2AlCu.

a b c (Å): 7.793 7.793 6.553
angles (deg): 90.00 90.00 90.00
Space group I-42d (No. 122)
Inequivalent atoms, fractional coordinates:
Y 0.216 0.250 0.125 [8 per cell]
Al 0.000 0.000 0.500 [4 per cell]
Cu 0.000 0.000 0.000 [4 per cell]

Total DFT energy (no corrections) = -5.098 eV per atom

3.
Density functional theory data (PBE) for an optimized crystal structure of Ba2ZnH2.

a b c (Å): 4.301 4.301 14.724
angles (deg): 90.00 90.00 90.00
Space group I4/mmm (No. 139)
Inequivalent atoms, fractional coordinates:
Ba 0.000 0.000 0.148 [4 per cell]
Zn 0.000 0.000 0.500 [2 per cell]
H 0.000 0.500 0.250 [4 per cell]

Energy above the most stable polymorph in this dataset = 0.0 meV/atom
Total DFT energy (no corrections) = -2.671 eV per atom

4.
Density functional theory data (PBE) for an optimized crystal structure of Sm2ThMn.

a b c (Å): 3.586 3.586 8.794
angles (deg): 90.00 90.00 90.00
Space group P4/mmm (No. 123)
Inequivalent atoms, fractional coordinates:
Sm 0.000 0.000 0.211 [2 per cell]
Th 0.500 0.500 0.500 [1 per cell]
Mn 0.500 0.500 0.000 [1 per cell]

Energy above the most stable polymorph in this dataset = 0.0 meV/atom
Total DFT energy (no corrections) = -6.315 eV per atom